(1)
# GdThZnTc

A relaxed structure of GdThZnTc (PBE-GGA, the Alexandria database).

Unit cell a=5.0495 b=5.0495 c=5.0495 alpha=60.00 beta=60.00 gamma=60.00
With the nearest neighbours (Å) after each atom.
Positions (direct):
Gd: 0.7500 0.7500 0.7500  4 Zn 3.09, 4 Tc 3.09
Zn: 0.0000 0.0000 0.0000  4 Gd 3.09, 4 Th 3.09
Th: 0.2500 0.2500 0.2500  4 Tc 3.09, 4 Zn 3.09
Tc: 0.5000 0.5000 0.5000  4 Th 3.09, 4 Gd 3.09

**Energy of formation**: -0.1169 eV/atom
**DOS at the Fermi energy**: 5.3 states/eV/cell
**Total DFT energy (no corrections)**: -8.4021 eV per atom

=====

(2)
# Mg9Si5

A relaxed structure of Mg9Si5 (PBE-GGA, the Alexandria database).

Unit cell a=7.3543 b=7.3258 c=12.1075 alpha=84.85 beta=79.59 gamma=61.19
With the nearest neighbours (Å) after each atom.
Positions (direct):
Mg: 0.6205 0.3330 0.5692  4 Si 2.71-2.92
Mg: 0.6024 0.3764 0.2357  3 Si 2.67-2.79, 1 Mg 2.92
Mg: 0.8844 0.4961 0.4146  4 Si 2.74-2.87, 1 Mg 3.04
Mg: 0.9401 0.4313 0.0953  4 Si 2.70-2.93, 2 Mg 2.92-3.02
Mg: 0.1538 0.0918 0.5791  4 Si 2.70-2.86
Mg: 0.9124 0.8219 0.5829  4 Si 2.74-2.89, 1 Mg 3.02
Mg: 0.0836 0.0056 0.9403  5 Si 2.79-3.09, 2 Mg 3.01-3.11
Mg: 0.2567 0.6827 0.7437  4 Si 2.78-3.09
Mg: 0.8272 0.4835 0.7164  4 Si 2.69-2.83, 1 Mg 2.99
Mg: 0.3096 0.1459 0.2523  4 Si 2.71-2.92, 1 Mg 2.99
Mg: 0.1027 0.6538 0.2153  4 Si 2.70-2.95, 1 Mg 3.02
Mg: 0.6272 0.0023 0.4075  4 Si 2.72-2.83, 2 Mg 2.99-3.02
Mg: 0.8006 0.8021 0.9120  4 Si 2.74-2.93, 1 Mg 2.95
Mg: 0.3568 0.7445 0.4052  4 Si 2.71-2.86
Mg: 0.6596 0.3840 0.9448  3 Si 2.77-3.07, 4 Mg 2.99-3.01
Mg: 0.4328 0.7676 0.0893  3 Si 2.77-3.08, 4 Mg 2.95-3.06
Mg: 0.4579 0.0722 0.7422  4 Si 2.86-2.91, 3 Mg 3.12-3.19
Mg: 0.3987 0.1665 0.9962  3 Si 2.67-2.79, 2 Mg 2.95
Si: 0.2247 0.5791 0.9708  1 Si 2.59, 4 Mg 2.67-2.79
Si: 0.0796 0.3889 0.8718  1 Si 2.59, 5 Mg 2.69-2.84
Si: 0.2130 0.4189 0.6092  1 Si 2.48, 4 Mg 2.70-2.74
Si: 0.8365 0.0920 0.7543  9 Mg 2.79-3.09
Si: 0.0084 0.0586 0.1945  2 Si 2.51-2.57, 4 Mg 2.70-2.80
Si: 0.7268 0.0108 0.1211  2 Si 2.50-2.57, 2 Mg 2.79
Si: 0.2940 0.4100 0.4016  1 Si 2.48, 4 Mg 2.67-2.74
Si: 0.9568 0.0845 0.4046  1 Si 2.51, 5 Mg 2.76-2.82
Si: 0.6786 0.7411 0.2449  1 Si 2.50, 5 Mg 2.72-2.77
Si: 0.5546 0.7550 0.5855  9 Mg 2.69-2.91

**Relative energy among the computed polymorphs**: 119 meV per atom
**DOS at the Fermi energy**: 8.5 states/eV/cell
**Raw formation energy**: 0.01 eV per atom
**Total DFT energy (no corrections)**: -2.9560 eV per atom

=====

(3)
# LaCu2

A relaxed structure of LaCu2 (PBE-GGA, the Alexandria database).

Unit cell a=7.1377 b=7.1377 c=4.7327 alpha=90.00 beta=90.00 gamma=120.00
With the nearest neighbours (Å) after each atom.
Positions (direct):
Cu: 0.0000 0.2192 0.0000  4 Cu 2.71-2.75, 4 La 2.84-2.87
Cu: 0.0000 0.4153 0.5000  2 Cu 2.75, 1 La 2.96
Cu: 0.7808 0.7808 0.0000  4 Cu 2.71-2.75, 4 La 2.84-2.87
Cu: 0.4153 0.0000 0.5000  2 Cu 2.75, 1 La 2.96
Cu: 0.2192 0.0000 0.0000  4 Cu 2.71-2.75, 4 La 2.84-2.87
Cu: 0.5847 0.5847 0.5000  2 Cu 2.75, 1 La 2.96
La: 0.3333 0.6667 0.0000  9 Cu 2.87-3.20
La: 0.0000 0.0000 0.5000  9 Cu 2.84-2.96
La: 0.6667 0.3333 0.0000  9 Cu 2.87-3.20

**Energy of formation**: 0.0609 eV/atom
**DOS at the Fermi energy**: 7.8 states/eV/cell
**Total DFT energy (no corrections)**: -4.3123 eV per atom

=====

(4)
# Mg3ZrTl

A relaxed structure of Mg3ZrTl (PBE-GGA, the Alexandria database).

Unit cell a=5.7039 b=5.7039 c=5.7039 alpha=90.00 beta=90.00 gamma=90.00
With the nearest neighbours (Å) after each atom.
Positions (direct):
Tl: 0.5000 0.5000 0.5000  12 Mg 4.03
Mg: 0.5000 0.0000 0.0000  2 Zr 2.85
Mg: 0.0000 0.0000 0.5000  2 Zr 2.85
Mg: 0.0000 0.5000 0.0000  2 Zr 2.85
Zr: 0.0000 0.0000 0.0000  6 Mg 2.85

**Relative energy among the computed polymorphs**: 229 meV per atom
**Energy of formation**: 0.9541 eV/atom
**DOS at the Fermi energy**: 4.4 states/eV/cell
**Total DFT energy (no corrections)**: -2.1855 eV per atom

=====

(5)
# Zr9Tl2Cd

A relaxed structure of Zr9Tl2Cd (PBE-GGA, the Alexandria database).

Unit cell a=4.4805 b=4.4805 c=13.4324 alpha=90.00 beta=90.00 gamma=90.00
With the nearest neighbours (Å) after each atom.
Positions (direct):
Zr: 0.0000 0.5000 0.8347  8 Zr 3.15-3.17, 2 Cd 3.15, 2 Tl 3.17
Zr: 0.5000 0.5000 0.6673  4 Tl 3.17, 8 Zr 3.17
Zr: 0.0000 0.5000 0.1653  8 Zr 3.15-3.17, 2 Cd 3.15, 2 Tl 3.17
Zr: 0.5000 0.5000 0.3327  4 Tl 3.17, 8 Zr 3.17
Zr: 0.5000 0.0000 0.5000  8 Zr 3.17, 4 Tl 3.18
Zr: 0.0000 0.5000 0.5000  8 Zr 3.17, 4 Tl 3.18
Zr: 0.5000 0.0000 0.8347  2 Cd 3.15, 8 Zr 3.15-3.17, 2 Tl 3.17
Zr: 0.5000 0.0000 0.1653  2 Cd 3.15, 8 Zr 3.15-3.17, 2 Tl 3.17
Zr: 0.5000 0.5000 0.0000  8 Zr 3.15, 4 Cd 3.17
Tl: 0.0000 0.0000 0.3322  12 Zr 3.17-3.18
Tl: 0.0000 0.0000 0.6678  12 Zr 3.17-3.18
Cd: 0.0000 0.0000 0.0000  12 Zr 3.15-3.17

**Energy of formation**: -0.1040 eV/atom
**DOS at the Fermi energy**: 9.3 states/eV/cell
**Total DFT energy (no corrections)**: -6.9857 eV per atom

=====

(6)
# SnGe2S

A relaxed structure of SnGe2S (PBE-GGA, the Alexandria database).

Unit cell a=5.6792 b=5.6792 c=7.9488 alpha=69.07 beta=69.07 gamma=90.00
With the nearest neighbours (Å) after each atom.
Positions (direct):
Ge: 0.8750 0.8393 0.7500  2 S 2.54, 2 Sn 2.76
Ge: 0.5893 0.1250 0.2500  2 S 2.54, 2 Sn 2.76
Ge: 0.1607 0.6250 0.2500  2 S 2.54, 2 Sn 2.76
Ge: 0.3750 0.4107 0.7500  2 S 2.54, 2 Sn 2.76
Sn: 0.7500 0.2500 0.5000  4 Ge 2.76
Sn: 0.0000 0.0000 0.0000  4 Ge 2.76
S: 0.2500 0.7500 0.5000  4 Ge 2.54
S: 0.5000 0.5000 0.0000  4 Ge 2.54

**Relative energy among the computed polymorphs**: 0 meV per atom
**DOS at the Fermi energy**: 3.6 states/eV/cell
**Raw formation energy**: 0.21 eV per atom
**Total DFT energy (no corrections)**: -4.1295 eV per atom

=====

(7)
# CaCrRh

A relaxed structure of CaCrRh (PBE-GGA, the Alexandria database).

Unit cell a=4.5858 b=4.5858 c=4.5858 alpha=60.00 beta=60.00 gamma=60.00
With the nearest neighbours (Å) after each atom.
Positions (direct):
Cr: 0.0000 0.0000 0.0000  4 Ca 2.81
Ca: 0.7500 0.7500 0.7500  4 Cr 2.81, 4 Rh 2.81
Rh: 0.5000 0.5000 0.5000  4 Ca 2.81

**Relative energy among the computed polymorphs**: 813 meV per atom
**Energy of formation**: 0.9438 eV/atom
**DOS at the Fermi energy**: 1.5 states/eV/cell
**Total DFT energy (no corrections)**: -5.3817 eV per atom

=====

(8)
# Tb2PrY5

A relaxed structure of Tb2PrY5 (PBE-GGA, the Alexandria database).

Unit cell a=8.9209 b=8.5711 c=11.1181 alpha=88.88 beta=88.41 gamma=39.07
With the nearest neighbours (Å) after each atom.
Positions (direct):
Y: 0.7998 0.3177 0.5783  5 Y 3.38-3.78, 2 Tb 3.54-3.61, 1 Pr 3.60
Y: 0.6912 0.0274 0.9116  3 Tb 3.15-3.47, 2 Y 3.36-3.44
Y: 0.3483 0.9449 0.4296  3 Tb 3.22-3.57, 2 Y 3.38-3.52, 1 Pr 3.59
Y: 0.1893 0.6856 0.0798  3 Y 3.36-3.72, 1 Pr 3.46, 2 Tb 3.49-3.60
Y: 0.2376 0.6843 0.7467  2 Tb 3.46-3.52, 1 Pr 3.54, 4 Y 3.64-3.72
Y: 0.7624 0.3157 0.2533  2 Tb 3.46-3.52, 1 Pr 3.54, 4 Y 3.64-3.72
Y: 0.8107 0.3144 0.9202  3 Y 3.36-3.72, 1 Pr 3.46, 2 Tb 3.49-3.60
Y: 0.6517 0.0551 0.5704  3 Tb 3.22-3.57, 2 Y 3.38-3.52, 1 Pr 3.59
Y: 0.3088 0.9726 0.0884  3 Tb 3.15-3.47, 2 Y 3.36-3.44
Y: 0.2002 0.6823 0.4217  5 Y 3.38-3.78, 2 Tb 3.54-3.61, 1 Pr 3.60
Tb: 0.9045 0.5633 0.3781  2 Tb 2.95-3.01, 1 Y 3.22
Tb: 0.1423 0.4044 0.8911  2 Tb 2.89-3.01, 1 Y 3.15
Tb: 0.8577 0.5956 0.1089  2 Tb 2.89-3.01, 1 Y 3.15
Tb: 0.0955 0.4367 0.6219  2 Tb 2.95-3.01, 1 Y 3.22
Pr: 0.5026 0.8445 0.7592  3 Tb 3.40-3.68, 7 Y 3.46-3.80
Pr: 0.4974 0.1555 0.2408  3 Tb 3.40-3.68, 7 Y 3.46-3.80

**Relative energy among the computed polymorphs**: 151 meV per atom
**Energy of formation**: 0.1702 eV/atom
**DOS at the Fermi energy**: 27.0 states/eV/cell
**Total DFT energy (no corrections)**: -5.6249 eV per atom

=====

(9)
# Pm2SmDy4Tm

A relaxed structure of Pm2SmDy4Tm (PBE-GGA, the Alexandria database).

Unit cell a=9.5134 b=9.5134 c=11.8114 alpha=128.38 beta=128.38 gamma=88.45
With the nearest neighbours (Å) after each atom.
Positions (direct):
Dy: 0.7452 0.2551 0.5004  1 Tm 3.25, 3 Pm 3.38-3.41, 2 Dy 3.40-3.41, 2 Sm 3.41
Dy: 0.2449 0.7548 0.9996  1 Tm 3.25, 3 Pm 3.38-3.41, 2 Dy 3.40-3.41, 2 Sm 3.41
Dy: 0.7502 0.7498 0.5043  1 Sm 3.31, 3 Pm 3.32-3.45, 2 Tm 3.36, 2 Dy 3.41
Dy: 0.7502 0.7498 0.9957  1 Sm 3.31, 3 Pm 3.32-3.45, 2 Tm 3.36, 2 Dy 3.41
Dy: 0.2548 0.7449 0.4996  1 Tm 3.25, 3 Pm 3.38-3.41, 2 Dy 3.40-3.41, 2 Sm 3.41
Dy: 0.2498 0.2503 0.4957  1 Sm 3.31, 3 Pm 3.32-3.45, 2 Tm 3.36, 2 Dy 3.41
Dy: 0.7551 0.2452 0.0004  1 Tm 3.25, 3 Pm 3.38-3.41, 2 Dy 3.40-3.41, 2 Sm 3.41
Dy: 0.2498 0.2502 0.0043  1 Sm 3.31, 3 Pm 3.32-3.45, 2 Tm 3.36, 2 Dy 3.41
Pm: 0.0000 0.0000 0.5000  6 Dy 3.38-3.45, 2 Pm 3.41
Pm: 0.5000 0.0000 0.0000  6 Dy 3.32-3.41, 2 Sm 3.41
Pm: 0.5000 0.0000 0.5000  6 Dy 3.32-3.41, 2 Sm 3.41
Pm: 0.5000 0.5000 0.0000  6 Dy 3.38-3.45, 2 Pm 3.41
Tm: 0.5000 0.5000 0.5000  6 Dy 3.25-3.36, 2 Tm 3.41
Tm: 0.0000 0.0000 0.0000  6 Dy 3.25-3.36, 2 Tm 3.41
Sm: 0.0000 0.5000 0.0000  6 Dy 3.31-3.41, 2 Pm 3.41
Sm: 0.0000 0.5000 0.5000  6 Dy 3.31-3.41, 2 Pm 3.41

**Energy of formation**: 0.4223 eV/atom
**DOS at the Fermi energy**: 36.8 states/eV/cell
**Total DFT energy (no corrections)**: -4.2152 eV per atom

=====

(10)
# Pr3N2

A relaxed structure of Pr3N2 (PBE-GGA, the Alexandria database).

Unit cell a=6.3159 b=6.3159 c=7.0824 alpha=63.52 beta=63.52 gamma=60.00
With the nearest neighbours (Å) after each atom.
Positions (direct):
Pr: 0.4273 0.0727 0.7500  4 N 2.58-2.59
Pr: 0.5727 0.9273 0.2500  4 N 2.58-2.59
Pr: 0.7500 0.4273 0.7500  4 N 2.58-2.59
Pr: 0.2500 0.5727 0.2500  4 N 2.58-2.59
Pr: 0.9273 0.2500 0.2500  4 N 2.58-2.59
Pr: 0.0727 0.7500 0.7500  4 N 2.58-2.59
N: 0.8380 0.8380 0.4861  6 Pr 2.58-2.59
N: 0.1620 0.1620 0.5139  6 Pr 2.58-2.59
N: 0.3380 0.3380 0.9861  6 Pr 2.58-2.59
N: 0.6620 0.6620 0.0139  6 Pr 2.58-2.59

**DOS at the Fermi energy**: 7.5 states/eV/cell
**Raw formation energy**: -0.93 eV per atom
**Total DFT energy (no corrections)**: -7.1263 eV per atom

=====

(11)
# CsReB3

A relaxed structure of CsReB3 (PBE-GGA, the Alexandria database).

Unit cell a=4.3935 b=4.3935 c=4.3935 alpha=90.00 beta=90.00 gamma=90.00
With the nearest neighbours (Å) after each atom.
Positions (direct):
B: 0.0000 0.0000 0.5000  2 Re 2.20
B: 0.0000 0.5000 0.0000  2 Re 2.20
B: 0.5000 0.0000 0.0000  2 Re 2.20
Re: 0.0000 0.0000 0.0000  6 B 2.20
Cs: 0.5000 0.5000 0.5000  12 B 3.11

**Relative energy among the computed polymorphs**: 0 meV per atom
**Energy of formation**: 0.9615 eV/atom
**DOS at the Fermi energy**: 2.6 states/eV/cell
**Total DFT energy (no corrections)**: -5.7053 eV per atom